RbAc2OsO8 PBE relaxed; crystal system = monoclinic; volume = 15.1 A^3/atom; total magnetic moment = 0.87 μB/cell; SG = P2/m; formation energy (no corrections) = -1.998 eV per atom
1.0
5.504 0.017 -0.022
-0.011 4.403 0.633
0.027 1.054 7.652
Rb Ac Os O
1 2 1 8
Cartesian
0.013 0.527 3.826
2.769 2.502 6.276
2.750 2.973 1.987
0.000 0.000 0.000
-0.001 3.160 2.056
4.098 4.535 7.364
4.087 0.949 0.889
5.520 2.314 6.206
1.421 0.940 0.898
1.433 4.526 7.373
2.756 4.205 4.313
2.764 1.270 3.950